Entry 1:
{"formula": "TlFeAu4", "functional": "GGA-PBE", "state": "optimized geometry", "cell": [[-1.907, -3.406, 3.968], [-5.398, -1.350, 0.151], [-1.615, -5.165, -1.305]], "species": ["Tl", "Fe", "Au", "Au", "Au", "Au"], "frac_coords": [[0.000, 0.000, 0.000], [0.750, 0.750, 0.750], [0.874, 0.375, 0.375], [0.375, 0.375, 0.874], [0.375, 0.874, 0.375], [0.375, 0.375, 0.375]], "sg": "F-43m, No. 216", "formation_energy_ev_per_atom": 0.34, "magmom_total_mub_per_atom": 0.54}

***

Entry 2:
{"formula": "PaNbCu", "functional": "GGA-PBE", "state": "optimized geometry", "cell": [[-1.340, 2.605, -0.256], [-2.690, -1.008, 3.830], [4.207, 2.218, 0.547]], "species": ["Nb", "Pa", "Cu"], "frac_coords": [[0.158, 0.000, 0.000], [0.666, 0.667, 0.333], [0.176, 0.333, 0.667]], "sg": "P3m1, No. 156", "relative_energy_ev_per_fu": 0.277, "formation_energy_ev_per_atom": 0.31, "magmom_total_mub_per_atom": 0.00}

***

Entry 3:
{"formula": "NbCu3Pt4", "functional": "GGA-PBE", "state": "optimized geometry", "cell": [[4.658, 0.000, 0.000], [0.000, 5.620, 0.000], [0.000, 0.000, 8.961]], "species": ["Nb", "Nb", "Pt", "Pt", "Pt", "Pt", "Pt", "Pt", "Pt", "Pt", "Cu", "Cu", "Cu", "Cu", "Cu", "Cu"], "frac_coords": [[0.000, 0.500, 0.000], [0.000, 0.500, 0.500], [0.500, 0.754, 0.000], [0.500, 0.754, 0.500], [0.500, 0.246, 0.000], [0.500, 0.246, 0.500], [0.127, 0.757, 0.750], [0.873, 0.757, 0.250], [0.873, 0.243, 0.250], [0.127, 0.243, 0.750], [0.000, 0.000, 0.000], [0.000, 0.000, 0.500], [0.633, 0.000, 0.750], [0.367, 0.000, 0.250], [0.628, 0.500, 0.750], [0.372, 0.500, 0.250]], "sg": "Pmma, No. 51", "formation_energy_ev_per_atom": -0.35, "magmom_total_mub_per_atom": 0.00}

***

Entry 4:
{"formula": "Sr2BSbO6", "functional": "GGA-PBE", "state": "optimized geometry", "cell": [[-2.946, 1.877, -4.832], [2.573, -2.574, -3.932], [-3.136, -3.842, -3.843]], "species": ["Sr", "Sr", "B", "Sb", "O", "O", "O", "O", "O", "O"], "frac_coords": [[0.716, 0.210, 0.552], [0.284, 0.790, 0.448], [0.500, 0.500, 0.000], [0.000, 0.000, 0.000], [0.267, 0.256, 0.591], [0.880, 0.820, 0.872], [0.353, 0.710, 0.005], [0.647, 0.290, 0.995], [0.120, 0.180, 0.128], [0.733, 0.744, 0.409]], "sg": "P-1, No. 2", "formation_energy_uncorrected_mev_per_atom": -2147, "magmom_total_mub_per_atom": 0.00}

***

Entry 5:
{"formula": "Cr2AgAu", "functional": "GGA-PBE", "state": "optimized geometry", "cell": [[4.008, 0.000, 0.000], [0.000, 4.011, 0.000], [0.000, 0.000, 4.050]], "species": ["Ag", "Au", "Cr", "Cr"], "frac_coords": [[0.500, 0.000, 0.500], [0.000, 0.500, 0.500], [0.000, 0.000, 0.000], [0.500, 0.500, 0.000]], "sg": "P4/mmm, No. 123", "relative_energy_ev_per_fu": 0.000, "formation_energy_ev_per_atom": 0.18, "magmom_total_mub_per_atom": 0.00}

***

Entry 6:
{"formula": "NaPdI2N", "functional": "GGA-PBE", "state": "optimized geometry", "cell": [[5.689, 0.000, 0.000], [0.000, 5.689, 0.000], [0.000, 0.000, 4.264]], "species": ["I", "I", "Na", "Pd", "N"], "frac_coords": [[0.000, 0.500, 0.000], [0.500, 0.000, 0.000], [0.000, 0.000, 0.000], [0.500, 0.500, 0.500], [0.000, 0.000, 0.500]], "sg": "P4/mmm, No. 123", "relative_energy_ev_per_fu": 5.962, "formation_energy_uncorrected_mev_per_atom": 1301, "magmom_total_mub_per_atom": 0.27}

***

Entry 7:
{"formula": "Ac4Ge2Au", "functional": "GGA-PBE", "state": "optimized geometry", "cell": [[6.159, 0.000, 0.000], [0.000, 6.159, 0.000], [-3.080, -3.080, 7.366]], "species": ["Ac", "Ac", "Ac", "Ac", "Au", "Ge", "Ge"], "frac_coords": [[0.785, 0.785, 0.571], [0.215, 0.215, 0.429], [0.000, 0.500, 0.000], [0.500, 0.000, 0.000], [0.000, 0.000, 0.000], [0.585, 0.585, 0.170], [0.415, 0.415, 0.830]], "sg": "I4/mmm, No. 139", "relative_energy_ev_per_fu": 2.416, "formation_energy_ev_per_atom": -0.31, "magmom_total_mub_per_atom": 0.00}

***

Entry 8:
{"formula": "Y2ScRuPt", "functional": "GGA-PBE", "state": "optimized geometry", "cell": [[5.310, 0.000, 0.000], [0.000, 4.893, 0.000], [0.000, 0.000, 5.310]], "species": ["Y", "Y", "Ru", "Sc", "Pt"], "frac_coords": [[0.000, 0.000, 0.500], [0.500, 0.000, 0.000], [0.000, 0.500, 0.000], [0.500, 0.500, 0.500], [0.000, 0.000, 0.000]], "sg": "P4/mmm, No. 123", "formation_energy_ev_per_atom": 0.23, "magmom_total_mub_per_atom": 0.06}

***

Number 1: Fermi-level density of states 7.8 states/eV/f.u.. Number 2: Fermi-level density of states 5.0 states/eV/f.u.. Number 3: Fermi-level density of states 4.6 states/eV/f.u.. Number 4: Fermi-level density of states 0.0 states/eV/f.u.. Number 5: Fermi-level density of states 1.1 states/eV/f.u.. Number 6: Fermi-level density of states 10.9 states/eV/f.u.. Number 7: Fermi-level density of states 8.0 states/eV/f.u.. Number 8: Fermi-level density of states 7.1 states/eV/f.u..